Computed, not measured: GePdS3 after structural relaxation at the GGA-PBEsol level of DFT.

a b c (Å): 7.3625 7.3625 9.0310
angles (deg): 105.40 105.40 27.18
Fractional positions:
Ge 0.0856 0.0856 0.3025
Ge 0.9144 0.9144 0.6975
Pd 0.3869 0.3869 0.0337
Pd 0.6131 0.6131 0.9663
S 0.0765 0.0765 0.7896
S 0.1763 0.1763 0.1353
S 0.3702 0.3702 0.5370
S 0.6298 0.6298 0.4630
S 0.8237 0.8237 0.8647
S 0.9235 0.9235 0.2104

Output
symmetry = C2/m
DFT total energy = -5.1836 eV/atom